Entry 1:
DFT (GGA-PBE) results for a relaxed BaSmBi2 crystal.

a b c (Å): 4.0038 4.0038 8.7841
angles (deg): 90.00 90.00 90.00
Closest atoms and distances in Å follow each position.
Space group P4/mmm (No. 123)
Inequivalent atoms, fractional coordinates:
1 Ba 0.0000 0.0000 0.0000 [1 per cell]  8 Bi 3.75, 4 Ba 4.00
2 Sm 0.0000 0.0000 0.5000 [1 per cell]  8 Bi 3.43
3 Bi 0.5000 0.5000 0.2796 [2 per cell]  4 Sm 3.43, 4 Ba 3.75

## Properties
Crystal system: tetragonal
Formation energy from the elements in meV per atom: -735
Raw total energy in hartree per atom: -0.159
Magnetic moment in μB per cell: 0.0
Distance to the lowest polymorph of the same formula in meV/atom: 65.5

***

Entry 2:
DFT (GGA-PBE) results for a relaxed BaSmBi2 crystal.

a b c (Å): 4.6337 4.6337 25.6041
angles (deg): 90.00 90.00 120.00
Closest atoms and distances in Å follow each position.
Space group R3m (No. 160, hexagonal axes)
Inequivalent atoms, fractional coordinates:
1 Ba 0.0000 0.0000 0.0000 [3 per cell]  6 Bi 3.56-3.65
2 Sm 0.0000 0.0000 0.1716 [3 per cell]  6 Bi 3.22-3.29
3 Bi 0.0000 0.0000 0.5752 [3 per cell]  3 Sm 3.22, 3 Ba 3.56
4 Bi 0.0000 0.0000 0.7638 [3 per cell]  3 Sm 3.29, 3 Ba 3.65

## Properties
Crystal system: trigonal
Formation energy from the elements in meV per atom: -764
Raw total energy in hartree per atom: -0.160
Magnetic moment in μB per cell: 0.0
Distance to the lowest polymorph of the same formula in meV/atom: 37.1

***

Entry 3:
DFT (GGA-PBE) results for a relaxed BaSmBi2 crystal.

a b c (Å): 8.1212 4.6972 8.6890
angles (deg): 90.00 108.20 90.00
Closest atoms and distances in Å follow each position.
Space group C2/m (No. 12)
Inequivalent atoms, fractional coordinates:
1 Ba 0.0000 0.0000 0.0000 [2 per cell]  6 Bi 3.57
2 Sm 0.0000 0.5000 0.5000 [2 per cell]  6 Bi 3.25
3 Bi 0.2391 0.0000 0.7177 [4 per cell]  3 Sm 3.25, 3 Ba 3.57

## Properties
Crystal system: monoclinic
Formation energy from the elements in meV per atom: -801
Raw total energy in hartree per atom: -0.162
Magnetic moment in μB per cell: 0.0
Distance to the lowest polymorph of the same formula in meV/atom: 0.0

***

Entry 4:
DFT (GGA-PBE) results for a relaxed BaSmTh2Bi4 crystal.

a b c (Å): 6.6257 6.6257 13.2770
angles (deg): 90.00 90.00 90.00
Closest atoms and distances in Å follow each position.
Space group I-4m2 (No. 119)
Inequivalent atoms, fractional coordinates:
1 Ba 0.0000 0.0000 0.0000 [2 per cell]  6 Bi 3.31-3.43
2 Sm 0.0000 0.5000 0.7500 [2 per cell]  6 Bi 3.31-3.34
3 Th 0.0000 0.0000 0.5000 [2 per cell]  6 Bi 3.21-3.31
4 Th 0.0000 0.5000 0.2500 [2 per cell]  6 Bi 3.30-3.31
5 Bi 0.0000 0.0000 0.2580 [4 per cell]  3 Th 3.21-3.31, 2 Sm 3.31, 1 Ba 3.43
6 Bi 0.0000 0.5000 0.0015 [4 per cell]  3 Th 3.30-3.31, 2 Ba 3.31, 1 Sm 3.34

## Properties
Crystal system: tetragonal
Formation energy from the elements in meV per atom: -715
Raw total energy in hartree per atom: -0.196
Magnetic moment in μB per cell: 0.0

***

Entry 5:
DFT (GGA-PBE) results for a relaxed Ba2SmThBi4 crystal.

a b c (Å): 8.2285 4.7553 8.5970
angles (deg): 90.00 108.67 90.00
Closest atoms and distances in Å follow each position.
Space group P2/m (No. 10)
Inequivalent atoms, fractional coordinates:
1 Ba 0.0000 0.0000 0.0000 [1 per cell]  6 Bi 3.58
2 Ba 0.5000 0.5000 0.0000 [1 per cell]  6 Bi 3.58
3 Sm 0.0000 0.5000 0.5000 [1 per cell]  6 Bi 3.27
4 Th 0.5000 0.0000 0.5000 [1 per cell]  6 Bi 3.27
5 Bi 0.2391 0.0000 0.7177 [2 per cell]  2 Sm 3.27, 1 Th 3.27, 3 Ba 3.58
6 Bi 0.2608 0.5000 0.2817 [2 per cell]  2 Th 3.27, 1 Sm 3.27, 3 Ba 3.58

## Properties
Crystal system: monoclinic
Formation energy from the elements in meV per atom: -803
Raw total energy in hartree per atom: -0.174
Magnetic moment in μB per cell: 0.0

***

Entry 6:
DFT (GGA-PBE) results for a relaxed BaSnBi2 crystal.

a b c (Å): 7.3122 21.0978 7.3021
angles (deg): 90.00 90.00 90.00
Closest atoms and distances in Å follow each position.
Space group Fmm2 (No. 42)
Inequivalent atoms, fractional coordinates:
1 Ba 0.0000 0.1192 0.0000 [8 per cell]  8 Bi 3.60-3.72, 4 Sn 3.78
2 Sn 0.2500 0.2500 0.2507 [8 per cell]  4 Bi 3.30-3.31, 4 Sn 3.65-3.66
3 Bi 0.0000 0.1521 0.4998 [8 per cell]  4 Sn 3.30-3.31
4 Bi 0.2444 0.0000 0.2558 [8 per cell]  4 Bi 3.57-3.74, 4 Ba 3.60-3.61

## Properties
Crystal system: orthorhombic
Formation energy from the elements in meV per atom: -393
Raw total energy in hartree per atom: -0.140
Magnetic moment in μB per cell: 0.0

***

Entry 7:
DFT (GGA-PBE) results for a relaxed Ba2Sn4Bi5 crystal.

a b c (Å): 13.2035 7.0408 10.4267
angles (deg): 90.00 125.73 90.00
Closest atoms and distances in Å follow each position.
Space group C2/m (No. 12)
Inequivalent atoms, fractional coordinates:
1 Ba 0.2377 0.0000 0.2325 [4 per cell]  6 Sn 3.63-3.95, 6 Bi 3.75-4.01
2 Sn 0.2157 0.5000 0.1015 [4 per cell]  1 Sn 2.98, 4 Bi 3.18-3.33
3 Sn 0.2166 0.5000 0.3884 [4 per cell]  1 Sn 2.98, 3 Bi 3.20-3.23
4 Bi 0.0000 0.0000 0.5000 [2 per cell]  2 Sn 3.20, 4 Bi 3.39
5 Bi 0.0318 0.2397 0.8032 [8 per cell]  3 Sn 3.18-3.33, 2 Bi 3.37-3.39

## Properties
Crystal system: monoclinic
Formation energy from the elements in meV per atom: -275
Raw total energy in hartree per atom: -0.141
Magnetic moment in μB per cell: 0.0

***

Entry 8:
DFT (GGA-PBE) results for a relaxed BaSn4Bi crystal.

a b c (Å): 4.8154 7.4094 10.8228
angles (deg): 90.00 90.00 90.00
Closest atoms and distances in Å follow each position.
Space group Immm (No. 71)
Inequivalent atoms, fractional coordinates:
1 Ba 0.0000 0.0000 0.0000 [2 per cell]  2 Bi 3.70, 12 Sn 3.73-3.91
2 Sn 0.0000 0.2011 0.3341 [8 per cell]  3 Sn 2.98-3.10
3 Bi 0.0000 0.5000 0.0000 [2 per cell]  8 Sn 3.35, 2 Ba 3.70

## Properties
Crystal system: orthorhombic
Formation energy from the elements in meV per atom: -303
Raw total energy in hartree per atom: -0.145
Magnetic moment in μB per cell: 0.0
Distance to the lowest polymorph of the same formula in meV/atom: 0.0

***

Entry 9:
DFT (GGA-PBE) results for a relaxed BaSn6Bi2 crystal.

a b c (Å): 16.5189 9.3823 3.6187
angles (deg): 90.00 95.86 90.00
Closest atoms and distances in Å follow each position.
Space group C2/m (No. 12)
Inequivalent atoms, fractional coordinates:
1 Ba 0.0000 0.0000 0.0000 [2 per cell]  2 Ba 3.62, 12 Sn 3.67-3.98
2 Sn 0.0000 0.3406 0.5000 [4 per cell]  3 Sn 2.99-3.33
3 Sn 0.1793 0.1771 0.6609 [8 per cell]  3 Sn 3.04-3.33, 2 Bi 3.33-3.40
4 Bi 0.1511 0.5000 0.0565 [4 per cell]  8 Sn 3.33-3.44, 2 Bi 3.62

## Properties
Crystal system: monoclinic
Formation energy from the elements in meV per atom: -56
Raw total energy in hartree per atom: -0.140
Magnetic moment in μB per cell: 0.0
Distance to the lowest polymorph of the same formula in meV/atom: 114.4

***

Entry 10:
DFT (GGA-PBE) results for a relaxed BaSnBi2 crystal.

a b c (Å): 5.0040 6.7371 9.1521
angles (deg): 89.55 89.95 68.33
Closest atoms and distances in Å follow each position.
Space group P-1 (No. 2)
Inequivalent atoms, fractional coordinates:
1 Ba 0.0653 0.3681 0.2505 [2 per cell]  3 Sn 3.55-3.69, 8 Bi 3.78-3.92
2 Sn 0.2188 0.0653 0.7499 [2 per cell]  6 Bi 3.29-3.40, 1 Ba 3.55
3 Bi 0.3753 0.7491 0.4493 [2 per cell]  1 Bi 3.25, 3 Sn 3.29-3.40
4 Bi 0.3785 0.7449 0.0511 [2 per cell]  1 Bi 3.21, 3 Sn 3.31-3.40

## Properties
Crystal system: triclinic
Formation energy from the elements in meV per atom: -428
Raw total energy in hartree per atom: -0.141
Magnetic moment in μB per cell: 0.0

***

Entry 11:
DFT (GGA-PBE) results for a relaxed Ba3Sn4Bi crystal.

a b c (Å): 9.3282 9.3282 13.4650
angles (deg): 90.00 90.00 90.00
Closest atoms and distances in Å follow each position.
Space group I4/mcm (No. 140)
Inequivalent atoms, fractional coordinates:
1 Ba 0.0000 0.0000 0.2500 [4 per cell]  2 Bi 3.37, 8 Sn 3.67
2 Ba 0.1622 0.3378 0.0000 [8 per cell]  2 Bi 3.50, 6 Sn 3.69-3.87
3 Sn 0.1420 0.3580 0.3045 [16 per cell]  3 Sn 3.03-3.21
4 Bi 0.0000 0.0000 0.0000 [4 per cell]  6 Ba 3.37-3.50

## Properties
Crystal system: tetragonal
Formation energy from the elements in meV per atom: -650
Raw total energy in hartree per atom: -0.142
Magnetic moment in μB per cell: 0.0

***

Entry 12:
DFT (GGA-PBE) results for a relaxed Ba3Sn4Bi4 crystal.

a b c (Å): 5.2181 8.7204 18.1375
angles (deg): 90.00 90.00 90.00
Closest atoms and distances in Å follow each position.
Space group Immm (No. 71)
Inequivalent atoms, fractional coordinates:
1 Ba 0.0000 0.0000 0.0000 [2 per cell]  6 Bi 3.74-3.77, 8 Sn 4.13
2 Ba 0.0000 0.5000 0.1357 [4 per cell]  6 Bi 3.86-3.96, 6 Sn 3.87-4.08
3 Sn 0.0000 0.3259 0.3447 [8 per cell]  1 Sn 3.04, 3 Bi 3.04-3.17
4 Bi 0.0000 0.0000 0.2078 [4 per cell]  4 Sn 3.17
5 Bi 0.0000 0.1934 0.5000 [4 per cell]  2 Sn 3.04, 1 Bi 3.37

## Properties
Crystal system: orthorhombic
Formation energy from the elements in meV per atom: -469
Raw total energy in hartree per atom: -0.142
Magnetic moment in μB per cell: 0.0

***

Entry 13:
DFT (GGA-PBE) results for a relaxed BaSn6Bi2 crystal.

a b c (Å): 8.0815 11.0493 6.7341
angles (deg): 90.00 103.34 90.00
Closest atoms and distances in Å follow each position.
Space group C2/m (No. 12)
Inequivalent atoms, fractional coordinates:
1 Ba 0.0000 0.0000 0.0000 [2 per cell]  8 Sn 3.59-3.69, 2 Bi 3.70
2 Sn 0.0000 0.1375 0.5000 [4 per cell]  5 Sn 3.01-3.10
3 Sn 0.1761 0.2827 0.2123 [8 per cell]  2 Sn 3.01-3.10, 1 Bi 3.07
4 Bi 0.0452 0.5000 0.7336 [4 per cell]  1 Bi 3.06, 2 Sn 3.07

## Properties
Crystal system: monoclinic
Formation energy from the elements in meV per atom: -170
Raw total energy in hartree per atom: -0.144
Magnetic moment in μB per cell: 0.0
Distance to the lowest polymorph of the same formula in meV/atom: 0.0